No. 1
Below is a relaxed structure of PrBiBr, with properties calculated at the PBE level.

Geometry as CIF:
```
data_PrBiBr
_chemical_formula_sum 'Pr1 Bi1 Br1'
_cell_length_a 5.280
_cell_length_b 5.280
_cell_length_c 3.800
_cell_angle_alpha 90.00
_cell_angle_beta 90.00
_cell_angle_gamma 120.00
_space_group_name_H-M_alt 'P 1'
_space_group_IT_number 1
loop_
_space_group_symop_operation_xyz
'x,y,z'
loop_
_atom_site_label
_atom_site_type_symbol
_atom_site_fract_x
_atom_site_fract_y
_atom_site_fract_z
_atom_site_occupancy
Pr1 Pr 0.000 0.000 0.000 1
Bi1 Bi 0.667 0.333 0.500 1
Br1 Br 0.333 0.667 0.000 1
```

Calculated values
Its formation energy from raw total energies is -0.90 eV/atom.

***

No. 2
Below is a relaxed structure of Pr2BiBr, with properties calculated at the PBE level.

Geometry as CIF:
```
data_Pr2BiBr
_chemical_formula_sum 'Pr2 Bi1 Br1'
_cell_length_a 5.519
_cell_length_b 5.519
_cell_length_c 5.519
_cell_angle_alpha 60.00
_cell_angle_beta 60.00
_cell_angle_gamma 60.00
_space_group_name_H-M_alt 'P 1'
_space_group_IT_number 1
loop_
_space_group_symop_operation_xyz
'x,y,z'
loop_
_atom_site_label
_atom_site_type_symbol
_atom_site_fract_x
_atom_site_fract_y
_atom_site_fract_z
_atom_site_occupancy
Pr1 Pr 0.250 0.250 0.250 1
Pr2 Pr 0.750 0.750 0.750 1
Bi1 Bi 0.000 0.000 0.000 1
Br1 Br 0.500 0.500 0.500 1
```

Calculated values
Its formation energy from raw total energies is -1.01 eV/atom.

***

No. 3
Below is a relaxed structure of Pr4Bi3Br, with properties calculated at the PBE level.

Geometry as CIF:
```
data_Pr4Bi3Br
_chemical_formula_sum 'Pr4 Bi3 Br1'
_cell_length_a 7.957
_cell_length_b 7.957
_cell_length_c 7.957
_cell_angle_alpha 131.94
_cell_angle_beta 131.94
_cell_angle_gamma 70.32
_space_group_name_H-M_alt 'P 1'
_space_group_IT_number 1
loop_
_space_group_symop_operation_xyz
'x,y,z'
loop_
_atom_site_label
_atom_site_type_symbol
_atom_site_fract_x
_atom_site_fract_y
_atom_site_fract_z
_atom_site_occupancy
Pr1 Pr 0.000 0.500 0.500 1
Pr2 Pr 0.244 0.244 0.000 1
Pr3 Pr 0.500 0.000 0.500 1
Pr4 Pr 0.756 0.756 0.000 1
Bi1 Bi 0.000 0.000 0.000 1
Bi2 Bi 0.250 0.750 0.500 1
Bi3 Bi 0.750 0.250 0.500 1
Br1 Br 0.500 0.500 0.000 1
```

Calculated values
Its formation energy from raw total energies is -1.01 eV/atom.

***

No. 4
Below is a relaxed structure of Pr2BiBr, with properties calculated at the PBE level.

Geometry as CIF:
```
data_Pr2BiBr
_chemical_formula_sum 'Pr2 Bi1 Br1'
_cell_length_a 8.312
_cell_length_b 8.312
_cell_length_c 8.312
_cell_angle_alpha 30.73
_cell_angle_beta 30.73
_cell_angle_gamma 30.73
_space_group_name_H-M_alt 'P 1'
_space_group_IT_number 1
loop_
_space_group_symop_operation_xyz
'x,y,z'
loop_
_atom_site_label
_atom_site_type_symbol
_atom_site_fract_x
_atom_site_fract_y
_atom_site_fract_z
_atom_site_occupancy
Pr1 Pr 0.000 0.000 0.000 1
Pr2 Pr 0.176 0.176 0.176 1
Bi1 Bi 0.587 0.587 0.587 1
Br1 Br 0.756 0.756 0.756 1
```

Calculated values
Its formation energy from raw total energies is -0.99 eV/atom.

***

No. 5
Below is a relaxed structure of Pr2BiBr, with properties calculated at the PBE level.

Geometry as CIF:
```
data_Pr2BiBr
_chemical_formula_sum 'Pr4 Bi2 Br2'
_cell_length_a 8.388
_cell_length_b 8.388
_cell_length_c 7.600
_cell_angle_alpha 100.39
_cell_angle_beta 100.39
_cell_angle_gamma 29.97
_space_group_name_H-M_alt 'P 1'
_space_group_IT_number 1
loop_
_space_group_symop_operation_xyz
'x,y,z'
loop_
_atom_site_label
_atom_site_type_symbol
_atom_site_fract_x
_atom_site_fract_y
_atom_site_fract_z
_atom_site_occupancy
Pr1 Pr 0.013 0.013 0.267 1
Pr2 Pr 0.258 0.258 0.720 1
Pr3 Pr 0.742 0.742 0.280 1
Pr4 Pr 0.987 0.987 0.733 1
Bi1 Bi 0.385 0.385 0.438 1
Bi2 Bi 0.615 0.615 0.562 1
Br1 Br 0.147 0.147 0.030 1
Br2 Br 0.853 0.853 0.970 1
```

Calculated values
Its formation energy from raw total energies is -1.07 eV/atom.

***

No. 6
Below is a relaxed structure of Pr2BiBr, with properties calculated at the PBE level.

Geometry as CIF:
```
data_Pr2BiBr
_chemical_formula_sum 'Pr2 Bi1 Br1'
_cell_length_a 5.537
_cell_length_b 5.537
_cell_length_c 3.876
_cell_angle_alpha 90.00
_cell_angle_beta 90.00
_cell_angle_gamma 90.00
_space_group_name_H-M_alt 'P 1'
_space_group_IT_number 1
loop_
_space_group_symop_operation_xyz
'x,y,z'
loop_
_atom_site_label
_atom_site_type_symbol
_atom_site_fract_x
_atom_site_fract_y
_atom_site_fract_z
_atom_site_occupancy
Pr1 Pr 0.000 0.500 0.000 1
Pr2 Pr 0.500 0.000 0.000 1
Bi1 Bi 0.000 0.000 0.500 1
Br1 Br 0.500 0.500 0.500 1
```

Calculated values
Its formation energy from raw total energies is -0.93 eV/atom.

***

No. 7
Below is a relaxed structure of Pr2BiBr3, with properties calculated at the PBE level.

Geometry as CIF:
```
data_Pr2BiBr3
_chemical_formula_sum 'Pr4 Bi2 Br6'
_cell_length_a 9.434
_cell_length_b 9.434
_cell_length_c 14.774
_cell_angle_alpha 126.05
_cell_angle_beta 126.05
_cell_angle_gamma 28.42
_space_group_name_H-M_alt 'P 1'
_space_group_IT_number 1
loop_
_space_group_symop_operation_xyz
'x,y,z'
loop_
_atom_site_label
_atom_site_type_symbol
_atom_site_fract_x
_atom_site_fract_y
_atom_site_fract_z
_atom_site_occupancy
Pr1 Pr 0.110 0.110 0.451 1
Pr2 Pr 0.360 0.360 0.168 1
Pr3 Pr 0.640 0.640 0.832 1
Pr4 Pr 0.890 0.890 0.549 1
Bi1 Bi 0.109 0.109 0.668 1
Bi2 Bi 0.891 0.891 0.332 1
Br1 Br 0.154 0.154 0.989 1
Br2 Br 0.261 0.261 0.408 1
Br3 Br 0.441 0.441 0.721 1
Br4 Br 0.559 0.559 0.279 1
Br5 Br 0.739 0.739 0.592 1
Br6 Br 0.846 0.846 0.011 1
```

Calculated values
Its formation energy from raw total energies is -1.45 eV/atom.

***

No. 8
Below is a relaxed structure of Pr6Bi5Br, with properties calculated at the PBE level.

Geometry as CIF:
```
data_Pr6Bi5Br
_chemical_formula_sum 'Pr6 Bi5 Br1'
_cell_length_a 7.997
_cell_length_b 7.997
_cell_length_c 7.985
_cell_angle_alpha 99.59
_cell_angle_beta 99.59
_cell_angle_gamma 120.01
_space_group_name_H-M_alt 'P 1'
_space_group_IT_number 1
loop_
_space_group_symop_operation_xyz
'x,y,z'
loop_
_atom_site_label
_atom_site_type_symbol
_atom_site_fract_x
_atom_site_fract_y
_atom_site_fract_z
_atom_site_occupancy
Pr1 Pr 0.075 0.415 0.747 1
Pr2 Pr 0.244 0.244 0.255 1
Pr3 Pr 0.415 0.075 0.747 1
Pr4 Pr 0.585 0.925 0.253 1
Pr5 Pr 0.756 0.756 0.745 1
Pr6 Pr 0.925 0.585 0.253 1
Bi1 Bi 0.000 0.000 0.500 1
Bi2 Bi 0.167 0.833 0.000 1
Bi3 Bi 0.335 0.665 0.500 1
Bi4 Bi 0.665 0.335 0.500 1
Bi5 Bi 0.833 0.167 0.000 1
Br1 Br 0.500 0.500 0.000 1
```

Calculated values
Its formation energy from raw total energies is -1.02 eV/atom.

***

Which of these has the highest formation energy from raw total energies? PrBiBr

***

formation energy from raw total energies of number 3 (Pr4Bi3Br)? -1.01 eV/atom